# YScAl4Ni2

An optimized crystal structure of YScAl4Ni2 (GGA-PBE, the Open Quantum Materials Database).

Structure (POSCAR):
```
YScAl4Ni2
1.0
6.781 0.000 0.000
0.000 2.023 4.910
0.000 -2.023 4.910
Ni Al Y Sc
2 4 1 1
direct
0.500 0.715 0.715
0.000 0.290 0.290
0.297 0.150 0.150
0.193 0.848 0.848
0.807 0.848 0.848
0.703 0.150 0.150
0.500 0.436 0.436
0.000 0.564 0.564
```

Computed properties:
The calculation puts the total DFT energy (no corrections) at -44.06 eV per formula unit.

=====

# YScAlNi2

An optimized crystal structure of YScAlNi2 (GGA-PBE, the Open Quantum Materials Database).

Structure (POSCAR):
```
YScAlNi2
1.0
-2.062 2.639 4.018
2.062 -2.639 4.018
2.062 2.639 -4.018
Y Ni Sc Al
1 2 1 1
direct
0.297 0.797 0.500
0.268 0.500 0.768
0.732 0.500 0.232
0.703 0.203 0.500
0.999 0.999 0.000
```

Computed properties:
The calculation puts the total DFT energy (no corrections) at -30.45 eV per formula unit.